1.
First-principles (PBE-GGA) data for Pm6SbTe5 after structural relaxation, as listed in the Alexandria database.

Cell and atoms, written as extended XYZ:
```
12
Lattice="-0.9014 -6.8101 3.6228 -2.3152 -5.3315 -5.1020 5.2322 -4.2007 -3.8466" Properties=species:S:1:pos:R:3 pbc="T T T"
Te -0.6075 -9.2550 -3.7282
Te -1.6083 -6.0708 -0.7396
Te 2.6231 -7.0873 -1.5976
Te 1.9480 -6.3556 -5.9664
Te 0.9690 -3.1766 -2.9822
Pm -0.7876 -2.9799 -0.3539
Pm 1.8987 -10.1472 -1.9376
Pm 0.8384 -6.9486 1.0631
Pm 1.1771 -9.3937 -6.3889
Pm 0.1169 -6.1951 -3.3882
Pm -2.4290 -9.1617 -1.1252
Sb 0.0000 0.0000 0.0000
```

Values from the calculation:
* electronic total energy: -5.420 eV per atom
* space-group type: No. 12
* N(E_F): 0.499 states/eV per atom
* ΔE_f (raw): -1392.6 meV/atom

---

2.
First-principles (PBE-GGA) data for H2PdN2 after structural relaxation, as listed in the Alexandria database.

Cell and atoms, written as extended XYZ:
```
5
Lattice="4.6903 0.0000 0.0000 0.0000 4.6903 0.0000 2.3451 2.3451 2.4943" Properties=species:S:1:pos:R:3 pbc="T T T"
N 2.3451 2.3451 0.5640
N 4.6903 4.6903 1.9302
H 2.3451 4.6903 1.2471
H 4.6903 2.3451 1.2471
Pd 0.0000 0.0000 0.0000
```

Values from the calculation:
* electronic total energy: -4.693 eV per atom
* space-group type: No. 139
* N(E_F): 0.322 states/eV per atom
* energy relative to the lowest polymorph listed for this composition: 2.55 eV per formula unit

---

3.
First-principles (PBE-GGA) data for RbP2SF after structural relaxation, as listed in the Alexandria database.

Cell and atoms, written as extended XYZ:
```
5
Lattice="6.8949 0.0000 0.0000 0.0000 6.8949 0.0000 0.0000 0.0000 6.3617" Properties=species:S:1:pos:R:3 pbc="T T T"
P 3.4474 0.0000 0.0000
P 0.0000 3.4474 0.0000
F 3.4474 3.4474 3.1808
Rb 0.0000 0.0000 0.0000
S 0.0000 0.0000 3.1808
```

Values from the calculation:
* electronic total energy: -2.151 eV per atom
* space-group type: No. 123
* N(E_F): 2.626 states/eV per atom
* energy relative to the lowest polymorph listed for this composition: 4.98 eV per formula unit
* ΔE_f (raw): 1406.7 meV/atom